1.
This record from Alexandria via LeMat-Bulk describes an optimized crystal structure of LiTaAs2. The functional is GGA-PBE.

Computed properties:
formation enthalpy at 0 K: -0.18 eV per atom
energy above the most stable polymorph in this dataset: 0.259 eV per atom

Cell lengths 4.7249, 4.7249, 4.7249 Å; angles 132.83, 119.16, 80.38 degrees
Atoms (fractional coordinates):
As (0.4847, 0.4847, 0.0000)
As (0.0153, 0.0153, 0.0000)
Li (0.2500, 0.7500, 0.5000)
Ta (0.7500, 0.2500, 0.5000)

---

2.
This record from Alexandria via LeMat-Bulk describes an optimized crystal structure of Na2SnBr. The functional is GGA-PBE.

Computed properties:
energy above the most stable polymorph in this dataset: 0.449 eV per atom
formation energy (no corrections): -103 kJ/mol of formula units

Cell lengths 5.5200, 5.5200, 5.5200 Å; angles 60.00, 60.00, 60.00 degrees
Atoms (fractional coordinates):
Sn (0.5000, 0.5000, 0.5000)
Br (0.0000, 0.0000, 0.0000)
Na (0.7500, 0.7500, 0.7500)
Na (0.2500, 0.2500, 0.2500)

---

3.
This record from Alexandria via LeMat-Bulk describes an optimized crystal structure of Mn2AgPd. The functional is GGA-PBE.

Computed properties:
formation enthalpy at 0 K: 0.42 eV per atom
energy above the most stable polymorph in this dataset: 0.351 eV per atom

Cell lengths 7.1435, 7.1435, 5.7541 Å; angles 51.63, 51.63, 90.00 degrees
Atoms (fractional coordinates):
Ag (0.7500, 0.2500, 0.5000)
Ag (0.0000, 0.0000, 0.0000)
Mn (0.8750, 0.8623, 0.7500)
Mn (0.6123, 0.1250, 0.2500)
Mn (0.3750, 0.3877, 0.7500)
Mn (0.1377, 0.6250, 0.2500)
Pd (0.5000, 0.5000, 0.0000)
Pd (0.2500, 0.7500, 0.5000)

---

4.
This record from Alexandria via LeMat-Bulk describes an optimized crystal structure of Ba4AsSeBr2. The functional is GGA-PBE.

Computed properties:
formation energy (no corrections): -1340 kJ/mol of formula units

Cell lengths 4.7593, 8.2286, 8.2838 Å; angles 109.36, 90.00, 90.00 degrees
Atoms (fractional coordinates):
Ba (0.5000, 0.7529, 0.7748)
Ba (0.5000, 0.2471, 0.2252)
Ba (0.0000, 0.2633, 0.7754)
Ba (0.0000, 0.7367, 0.2246)
Br (0.5000, 0.0000, 0.5000)
Br (0.0000, 0.5000, 0.5000)
As (0.5000, 0.5000, 0.0000)
Se (0.0000, 0.0000, 0.0000)

---

5.
This record from Alexandria via LeMat-Bulk describes an optimized crystal structure of Ti6GaGe2. The functional is GGA-PBE.

Computed properties:
formation enthalpy at 0 K: -0.35 eV per atom

Cell lengths 5.1574, 7.0791, 8.3408 Å; angles 90.00, 88.65, 90.00 degrees
Atoms (fractional coordinates):
Ti (0.5969, 0.1987, 0.5527)
Ti (0.4031, 0.8013, 0.4473)
Ti (0.3758, 0.5354, 0.7056)
Ti (0.3745, 0.8419, 0.0479)
Ti (0.8745, 0.6581, 0.5479)
Ti (0.1242, 0.0354, 0.7944)
Ti (0.8758, 0.9646, 0.2056)
Ti (0.6242, 0.4646, 0.2944)
Ti (0.6255, 0.1581, 0.9521)
Ti (0.1255, 0.3419, 0.4521)
Ti (0.9031, 0.6987, 0.9473)
Ti (0.0969, 0.3013, 0.0527)
Ga (0.5000, 0.5000, 0.0000)
Ga (0.0000, 0.0000, 0.5000)
Ge (0.6004, 0.8847, 0.7421)
Ge (0.1004, 0.6153, 0.2421)
Ge (0.3996, 0.1153, 0.2579)
Ge (0.8996, 0.3847, 0.7579)

---

6.
This record from Alexandria via LeMat-Bulk describes an optimized crystal structure of SmGdZnOs. The functional is GGA-PBE.

Computed properties:
formation enthalpy at 0 K: -0.20 eV per atom

Cell lengths 4.9845, 4.9845, 4.9845 Å; angles 60.00, 60.00, 60.00 degrees
Atoms (fractional coordinates):
Gd (0.7500, 0.7500, 0.7500)
Os (0.5000, 0.5000, 0.5000)
Zn (0.0000, 0.0000, 0.0000)
Sm (0.2500, 0.2500, 0.2500)

---

7.
This record from Alexandria via LeMat-Bulk describes an optimized crystal structure of TaAlRe2. The functional is GGA-PBE.

Computed properties:
formation enthalpy at 0 K: -0.13 eV per atom

Cell lengths 2.9118, 2.9118, 7.4844 Å; angles 90.00, 90.00, 90.00 degrees
Atoms (fractional coordinates):
Re (0.0000, 0.0000, 0.0030)
Re (0.5000, 0.5000, 0.2203)
Ta (0.0000, 0.0000, 0.5039)
Al (0.5000, 0.5000, 0.7727)

---

8.
This record from Alexandria via LeMat-Bulk describes an optimized crystal structure of Cr2SeS. The functional is GGA-PBE.

Computed properties:
energy above the most stable polymorph in this dataset: 0.102 eV per atom
formation energy (no corrections): -104 kJ/mol of formula units

Cell lengths 5.6149, 5.6149, 6.9750 Å; angles 66.27, 66.27, 90.00 degrees
Atoms (fractional coordinates):
Se (0.0000, 0.0000, 0.0000)
Se (0.7500, 0.2500, 0.5000)
Cr (0.1477, 0.6250, 0.2500)
Cr (0.6023, 0.1250, 0.2500)
Cr (0.8750, 0.8523, 0.7500)
Cr (0.3750, 0.3977, 0.7500)
S (0.5000, 0.5000, 0.0000)
S (0.2500, 0.7500, 0.5000)